Na3InBi3Te8 GGA-PBE optimized geometry; D(E_F) = 13.1 states/eV per cell; SG = C2/m, No. 12; formation energy (no corrections) = -9.8 kcal/mol of atoms
1.0
7.635 -4.384 0.000
7.635 4.384 0.000
-5.116 0.000 7.866
Na In Bi Te
3 1 3 8
Cartesian
0.000 0.000 0.000
3.818 2.192 0.000
3.818 -2.192 0.000
-2.558 0.000 3.933
1.260 2.192 3.933
1.260 -2.192 3.933
5.077 0.000 3.933
-0.126 0.000 5.727
3.851 2.279 5.731
6.304 2.279 2.134
2.539 0.000 2.072
7.616 0.000 5.793
3.851 -2.279 5.731
6.304 -2.279 2.134
10.280 0.000 2.139

---

Na4InBi3Te8 GGA-PBE optimized geometry; D(E_F) = 3.3 states/eV per cell; SG = C2/m, No. 12; formation energy (no corrections) = -12.4 kcal/mol of atoms
1.0
7.722 -4.459 0.000
7.722 4.459 0.000
-5.154 0.000 7.665
Na In Bi Te
4 1 3 8
Cartesian
0.000 0.000 0.000
3.861 2.230 0.000
3.861 -2.230 0.000
7.722 0.000 0.000
-2.577 0.000 3.832
1.284 2.230 3.832
1.284 -2.230 3.832
5.145 0.000 3.832
-0.083 0.000 5.609
3.898 2.300 5.607
6.393 2.300 2.058
2.572 0.000 2.006
7.719 0.000 5.659
3.898 -2.300 5.607
6.393 -2.300 2.058
10.373 0.000 2.056

---

NaThInBi GGA-PBE optimized geometry; D(E_F) = 16.0 states/eV per cell; SG = F-43m, No. 216; uncorrected energy = -3.9915 eV per atom
1.0
7.763 0.000 0.000
0.000 7.763 0.000
0.000 0.000 7.763
Na Th In Bi
4 4 4 4
Cartesian
0.000 0.000 0.000
0.000 3.881 3.881
3.881 0.000 3.881
3.881 3.881 0.000
0.000 0.000 3.881
0.000 3.881 0.000
3.881 0.000 0.000
3.881 3.881 3.881
1.941 1.941 1.941
1.941 5.822 5.822
5.822 1.941 5.822
5.822 5.822 1.941
1.941 1.941 5.822
1.941 5.822 1.941
5.822 1.941 1.941
5.822 5.822 5.822

---

NaTl2In2Bi2 GGA-PBE optimized geometry; D(E_F) = 3.2 states/eV per cell; SG = R-3m, No. 166; uncorrected energy = -2.8023 eV per atom
1.0
2.761 1.594 8.018
-2.761 1.594 8.018
0.000 -3.189 8.018
Na Tl In Bi
1 2 2 2
Cartesian
0.000 0.000 0.000
0.000 0.000 3.317
0.000 0.000 20.739
0.000 0.000 10.149
0.000 0.000 13.906
0.000 0.000 6.724
0.000 0.000 17.332

---

Na2Tl2InBi2 GGA-PBE optimized geometry; D(E_F) = 1.6 states/eV per cell; SG = R-3m, No. 166; uncorrected energy = -2.6548 eV per atom
1.0
2.787 1.609 7.880
-2.787 1.609 7.880
0.000 -3.218 7.880
Na Tl In Bi
2 2 1 2
Cartesian
0.000 0.000 3.267
0.000 0.000 20.371
0.000 0.000 10.106
0.000 0.000 13.533
0.000 0.000 0.000
0.000 0.000 6.715
0.000 0.000 16.924

---

NaTl5InBi2 GGA-PBE optimized geometry; D(E_F) = 5.5 states/eV per cell; SG = Cmc2_1, No. 36; uncorrected energy = -2.6503 eV per atom
1.0
2.428 -9.402 0.000
2.428 9.402 0.000
0.000 0.000 12.531
Na Tl In Bi
2 10 2 4
Cartesian
2.428 8.594 6.266
2.428 -8.594 0.000
2.428 8.833 9.696
2.428 6.261 2.005
2.428 5.358 9.817
2.428 5.185 6.093
2.428 0.701 7.920
2.428 -0.701 1.655
2.428 -5.185 12.359
2.428 -5.358 3.551
2.428 -6.261 8.271
2.428 -8.833 3.431
2.428 2.695 1.706
2.428 -2.695 7.971
2.428 2.272 10.728
2.428 2.103 5.088
2.428 -2.103 11.353
2.428 -2.272 4.463

---

NaTl2In5Bi GGA-PBE optimized geometry; D(E_F) = 7.1 states/eV per cell; SG = Cmc2_1, No. 36; uncorrected energy = -2.6566 eV per atom
1.0
2.538 -7.821 0.000
2.538 7.821 0.000
0.000 0.000 13.045
Na Tl In Bi
2 4 10 2
Cartesian
2.538 6.543 6.522
2.538 -6.543 0.000
2.538 1.324 10.796
2.538 1.205 6.569
2.538 -1.205 0.047
2.538 -1.324 4.274
2.538 6.478 2.230
2.538 6.478 10.766
2.538 3.924 8.686
2.538 3.899 4.356
2.538 1.411 2.253
2.538 -1.411 8.775
2.538 -3.899 10.878
2.538 -3.924 2.164
2.538 -6.478 4.243
2.538 -6.478 8.753
2.538 3.929 0.008
2.538 -3.929 6.531

---

NaTlIn4Bi2 GGA-PBE optimized geometry; D(E_F) = 4.5 states/eV per cell; SG = C2/m, No. 12; uncorrected energy = -2.8222 eV per atom
1.0
14.426 0.000 0.000
0.000 4.832 0.000
-2.120 0.000 7.602
Na Tl In Bi
2 2 8 4
Cartesian
0.000 0.000 0.000
7.213 2.416 0.000
-1.060 2.416 3.801
6.153 0.000 3.801
1.169 0.000 3.695
1.108 2.416 6.274
3.985 0.000 1.328
3.924 2.416 3.907
8.382 2.416 3.695
8.321 0.000 6.274
11.198 2.416 1.328
11.137 0.000 3.907
1.793 2.416 1.497
3.300 0.000 6.105
9.006 0.000 1.497
10.513 2.416 6.105

---

NaTmInBi GGA-PBE optimized geometry; D(E_F) = 14.1 states/eV per cell; SG = F-43m, No. 216; uncorrected energy = -3.3638 eV per atom
1.0
7.645 0.000 0.000
0.000 7.645 0.000
0.000 0.000 7.645
Na Tm In Bi
4 4 4 4
Cartesian
0.000 0.000 0.000
0.000 3.822 3.822
3.822 0.000 3.822
3.822 3.822 0.000
0.000 0.000 3.822
0.000 3.822 0.000
3.822 0.000 0.000
3.822 3.822 3.822
1.911 1.911 1.911
1.911 5.734 5.734
5.734 1.911 5.734
5.734 5.734 1.911
1.911 1.911 5.734
1.911 5.734 1.911
5.734 1.911 1.911
5.734 5.734 5.734

---

NaZnInBi GGA-PBE optimized geometry; D(E_F) = 7.4 states/eV per cell; SG = F-43m, No. 216; uncorrected energy = -2.3106 eV per atom
1.0
7.444 0.000 0.000
0.000 7.444 0.000
0.000 0.000 7.444
Na Zn In Bi
4 4 4 4
Cartesian
0.000 0.000 0.000
0.000 3.722 3.722
3.722 0.000 3.722
3.722 3.722 0.000
0.000 0.000 3.722
0.000 3.722 0.000
3.722 0.000 0.000
3.722 3.722 3.722
1.861 1.861 5.583
1.861 5.583 1.861
5.583 1.861 1.861
5.583 5.583 5.583
1.861 1.861 1.861
1.861 5.583 5.583
5.583 1.861 5.583
5.583 5.583 1.861

---

NbInBi3 GGA-PBE optimized geometry; D(E_F) = 3.4 states/eV per cell; SG = Pm-3m, No. 221; ΔE to the lowest computed polymorph = 0.000 eV/atom
1.0
5.555 0.000 0.000
0.000 5.555 0.000
0.000 0.000 5.555
Nb In Bi
1 1 3
Cartesian
0.000 0.000 0.000
2.777 2.777 2.777
0.000 0.000 2.777
0.000 2.777 0.000
2.777 0.000 0.000

---

Nb2InBi GGA-PBE optimized geometry; D(E_F) = 16.3 states/eV per cell; SG = Fm-3m, No. 225; ΔE to the lowest computed polymorph = 0.000 eV/atom
1.0
6.934 0.000 0.000
0.000 6.934 0.000
0.000 0.000 6.934
Nb In Bi
8 4 4
Cartesian
1.733 1.733 1.733
1.733 1.733 5.200
1.733 5.200 1.733
1.733 5.200 5.200
5.200 1.733 1.733
5.200 1.733 5.200
5.200 5.200 1.733
5.200 5.200 5.200
0.000 0.000 0.000
0.000 3.467 3.467
3.467 0.000 3.467
3.467 3.467 0.000
0.000 0.000 3.467
0.000 3.467 0.000
3.467 0.000 0.000
3.467 3.467 3.467